No. 1
# Os2RuC

A geometry-optimized Os2RuC structure (PBE-GGA, Alexandria via LeMat-Bulk).

a b c (Å): 2.787 2.787 21.684
angles (deg): 90.00 90.00 120.00
Sites, in units of the cell vectors:
Ru (0.000, 0.000, 0.948)
Ru (0.333, 0.667, 0.615)
Ru (0.667, 0.333, 0.282)
C (0.000, 0.000, 0.549)
C (0.333, 0.667, 0.216)
C (0.667, 0.333, 0.883)
Os (0.000, 0.000, 0.386)
Os (0.333, 0.667, 0.052)
Os (0.667, 0.333, 0.719)
Os (0.000, 0.000, 0.820)
Os (0.333, 0.667, 0.487)
Os (0.667, 0.333, 0.153)

* N(E_F): 7.37 states/eV per cell
* final energy: -9.943 eV/atom



No. 2
# Os2RuC

A geometry-optimized Os2RuC structure (PBE-GGA, Alexandria via LeMat-Bulk).

a b c (Å): 2.774 4.078 8.730
angles (deg): 90.00 90.00 90.00
Sites, in units of the cell vectors:
Ru (0.000, 0.500, 0.500)
Ru (0.500, 0.000, 0.000)
C (0.500, 0.500, 0.000)
C (0.000, 0.000, 0.500)
Os (0.500, 0.000, 0.682)
Os (0.500, 0.000, 0.318)
Os (0.000, 0.500, 0.182)
Os (0.000, 0.500, 0.818)

* N(E_F): 5.60 states/eV per cell
* final energy: -9.750 eV/atom



Number 1: energy of formation 1.2 eV per formula unit, V 48.6 Å³/f.u., magnetization 0.00 μB per atom. Number 2: energy of formation 2.0 eV per formula unit, V 49.4 Å³/f.u., magnetization 0.00 μB per atom.